# Ag2TeRh

A relaxed structure of Ag2TeRh (GGA-PBEsol, Alexandria via LeMat-Bulk).

The density comes out at 9.9 Mg/m³. The value obtained for the magnetic moment is 0.00 μB per atom. The crystal system is trigonal.

abc: 3.1606 3.1606 25.8805
angles: 90.00 90.00 120.00
Closest atoms and distances in Å follow each position.
Space group R3m (No. 160, hexagonal axes)
Asymmetric unit:
Ag: 0.0000 0.0000 0.0000  3 Rh 2.79, 3 Ag 2.80
Ag: 0.0000 0.0000 0.2511  3 Ag 2.80
Te: 0.0000 0.0000 0.4849  3 Rh 2.57
Rh: 0.0000 0.0000 0.7483  3 Te 2.57, 3 Ag 2.79

# Ag2TeRh

A relaxed structure of Ag2TeRh (GGA-PBEsol, Alexandria via LeMat-Bulk).

The density comes out at 10.3 Mg/m³. The value obtained for the magnetic moment is 0.00 μB per atom. The crystal system is tetragonal.

abc: 3.6877 3.6877 5.3142
angles: 90.00 90.00 90.00
Closest atoms and distances in Å follow each position.
Space group P4/mmm (No. 123)
Asymmetric unit:
Ag: 0.0000 0.0000 0.2422  2 Ag 2.57-2.74
Te: 0.5000 0.5000 0.5000  2 Rh 2.66, 8 Ag 2.95
Rh: 0.5000 0.5000 0.0000  2 Te 2.66, 8 Ag 2.91

| no. | DOS(E_F) (states/eV/cell) | total energy (eV per formula unit) | uncorrected formation energy (eV/atom) |
| --- | --- | --- | --- |
| 1 | 6.92 | -17.67 | 0.155 |
| 2 | 3.00 | -17.35 | 0.235 |